This record from Alexandria describes a geometry-optimized Cu2MoAu2 structure. The functional is PBE.

Results
Formation energy ... 467 meV per atom
Space group ... I4/mmm (139)
Offset from the most stable computed form ... 92 meV/atom

The structure in CIF format:
```
data_Cu2MoAu2
_chemical_formula_sum 'Cu2 Mo1 Au2'
_cell_length_a 3.247
_cell_length_b 3.247
_cell_length_c 8.033
_cell_angle_alpha 78.34
_cell_angle_beta 78.34
_cell_angle_gamma 90.00
_space_group_name_H-M_alt 'P 1'
_space_group_IT_number 1
loop_
_space_group_symop_operation_xyz
'x,y,z'
loop_
_atom_site_label
_atom_site_fract_x
_atom_site_fract_y
_atom_site_fract_z
Mo1 0.000 0.000 0.000
Au1 0.391 0.391 0.218
Au2 0.609 0.609 0.782
Cu1 0.750 0.250 0.500
Cu2 0.250 0.750 0.500
```